Entry 1:
A plane-wave DFT calculation with PBE was carried out for crystalline Sm5Pb3I at its relaxed geometry.

Cell and atoms, written as CIF:
```
data_Sm5Pb3I
_cell_length_a 9.5372
_cell_length_b 9.5372
_cell_length_c 6.9524
_cell_angle_alpha 90.00
_cell_angle_beta 90.00
_cell_angle_gamma 120.00
_space_group_name_H-M_alt 'P 63/m c m'
_space_group_IT_number 193
_space_group_name_Hall '-P 6c 2'
loop_
_atom_site_label
_atom_site_type_symbol
_atom_site_fract_x
_atom_site_fract_y
_atom_site_fract_z
_atom_site_occupancy
Sm1 Sm 0.0000 0.2747 0.2500 1
Sm2 Sm 0.3333 0.6667 0.0000 1
Pb1 Pb 0.0000 0.3866 0.7500 1
I1 I 0.0000 0.0000 0.0000 1
```

## Properties
Crystal system ... hexagonal
Final energy ... -4.7035 eV per atom

Entry 2:
A plane-wave DFT calculation with PBE was carried out for crystalline HfMgNiSn at its relaxed geometry.

Cell and atoms, written as CIF:
```
data_HfMgNiSn
_cell_length_a 6.655
_cell_length_b 6.655
_cell_length_c 6.655
_cell_angle_alpha 90.00
_cell_angle_beta 90.00
_cell_angle_gamma 90.00
_space_group_name_H-M_alt 'F -4 3 m'
_space_group_IT_number 216
_space_group_name_Hall 'F -4 2 3'
loop_
_atom_site_label
_atom_site_type_symbol
_atom_site_fract_x
_atom_site_fract_y
_atom_site_fract_z
_atom_site_occupancy
Hf1 Hf 0.000 0.000 0.000 1
Mg1 Mg 0.250 0.250 0.750 1
Ni1 Ni 0.000 0.000 0.500 1
Sn1 Sn 0.250 0.250 0.250 1
```

## Properties
Crystal system ... cubic
Final energy ... -5.2054 eV per atom

Entry 3:
A plane-wave DFT calculation with PBE was carried out for crystalline AlB4Pd at its relaxed geometry.

Cell and atoms, written as CIF:
```
data_AlB4Pd
_cell_length_a 3.0209
_cell_length_b 3.0209
_cell_length_c 6.7584
_cell_angle_alpha 90.00
_cell_angle_beta 90.00
_cell_angle_gamma 120.00
_space_group_name_H-M_alt 'P 6/m m m'
_space_group_IT_number 191
_space_group_name_Hall '-P 6 2'
loop_
_atom_site_label
_atom_site_type_symbol
_atom_site_fract_x
_atom_site_fract_y
_atom_site_fract_z
_atom_site_occupancy
Al1 Al 0.0000 0.0000 0.0000 1
B1 B 0.3333 0.6667 0.2277 1
Pd1 Pd 0.0000 0.0000 0.5000 1
```

## Properties
Crystal system ... hexagonal
Final energy ... -5.9216 eV per atom

Entry 4:
A plane-wave DFT calculation with PBE was carried out for crystalline LaDyGe2 at its relaxed geometry.

Cell and atoms, written as CIF:
```
data_LaDyGe2
_cell_length_a 4.444
_cell_length_b 20.188
_cell_length_c 4.542
_cell_angle_alpha 90.00
_cell_angle_beta 90.00
_cell_angle_gamma 90.00
_space_group_name_H-M_alt 'C m c m'
_space_group_IT_number 63
_space_group_name_Hall '-C 2c 2'
loop_
_atom_site_label
_atom_site_type_symbol
_atom_site_fract_x
_atom_site_fract_y
_atom_site_fract_z
_atom_site_occupancy
La1 La 0.000 0.090 0.250 1
Dy1 Dy 0.000 0.253 0.750 1
Ge1 Ge 0.000 0.347 0.250 1
Ge2 Ge 0.000 0.471 0.250 1
```

## Properties
Crystal system ... orthorhombic
Final energy ... -5.3520 eV per atom

Entry 5:
A plane-wave DFT calculation with PBE was carried out for crystalline KPrNdNi2 at its relaxed geometry.

Cell and atoms, written as CIF:
```
data_KPrNdNi2
_cell_length_a 3.862
_cell_length_b 4.031
_cell_length_c 18.410
_cell_angle_alpha 90.00
_cell_angle_beta 90.00
_cell_angle_gamma 90.00
_space_group_name_H-M_alt 'A m m 2'
_space_group_IT_number 38
_space_group_name_Hall 'A 2 -2'
loop_
_atom_site_label
_atom_site_type_symbol
_atom_site_fract_x
_atom_site_fract_y
_atom_site_fract_z
_atom_site_occupancy
K1 K 0.000 0.000 0.000 1
Pr1 Pr 0.500 0.000 0.666 1
Nd1 Nd 0.500 0.000 0.335 1
Ni1 Ni 0.000 0.000 0.213 1
Ni2 Ni 0.000 0.000 0.791 1
```

## Properties
Crystal system ... orthorhombic
Final energy ... -4.4606 eV per atom

Entry 6:
A plane-wave DFT calculation with PBE was carried out for crystalline Pr2CuIr at its relaxed geometry.

Cell and atoms, written as CIF:
```
data_Pr2CuIr
_cell_length_a 5.783
_cell_length_b 4.431
_cell_length_c 7.949
_cell_angle_alpha 90.00
_cell_angle_beta 110.50
_cell_angle_gamma 90.00
_space_group_name_H-M_alt 'P 1 21/m 1'
_space_group_IT_number 11
_space_group_name_Hall '-P 2yb'
loop_
_atom_site_label
_atom_site_type_symbol
_atom_site_fract_x
_atom_site_fract_y
_atom_site_fract_z
_atom_site_occupancy
Pr1 Pr 0.218 0.250 0.437 1
Pr2 Pr 0.228 0.250 0.925 1
Cu1 Cu 0.353 0.750 0.214 1
Ir1 Ir 0.351 0.750 0.715 1
```

## Properties
Crystal system ... monoclinic
Final energy ... -6.0019 eV per atom

Entry 7:
A plane-wave DFT calculation with PBE was carried out for crystalline GdDyRe at its relaxed geometry.

Cell and atoms, written as CIF:
```
data_GdDyRe
_cell_length_a 6.754
_cell_length_b 6.754
_cell_length_c 6.754
_cell_angle_alpha 90.00
_cell_angle_beta 90.00
_cell_angle_gamma 90.00
_space_group_name_H-M_alt 'F -4 3 m'
_space_group_IT_number 216
_space_group_name_Hall 'F -4 2 3'
loop_
_atom_site_label
_atom_site_type_symbol
_atom_site_fract_x
_atom_site_fract_y
_atom_site_fract_z
_atom_site_occupancy
Gd1 Gd 0.000 0.000 0.000 1
Dy1 Dy 0.250 0.250 0.250 1
Re1 Re 0.000 0.000 0.500 1
```

## Properties
Crystal system ... cubic
Final energy ... -6.0954 eV per atom

Entry 8:
A plane-wave DFT calculation with PBE was carried out for crystalline PmAsNO at its relaxed geometry.

Cell and atoms, written as CIF:
```
data_PmAsNO
_cell_length_a 4.062
_cell_length_b 5.997
_cell_length_c 4.989
_cell_angle_alpha 90.00
_cell_angle_beta 90.00
_cell_angle_gamma 90.00
_space_group_name_H-M_alt 'P m c 21'
_space_group_IT_number 26
_space_group_name_Hall 'P 2c -2'
loop_
_atom_site_label
_atom_site_type_symbol
_atom_site_fract_x
_atom_site_fract_y
_atom_site_fract_z
_atom_site_occupancy
Pm1 Pm 0.000 0.242 0.000 1
As1 As 0.500 0.179 0.493 1
N1 N 0.000 0.160 0.492 1
O1 O 0.500 0.367 0.793 1
```

## Properties
Crystal system ... orthorhombic
Final energy ... -6.7682 eV per atom

Entry 9:
A plane-wave DFT calculation with PBE was carried out for crystalline SmNb2Os2 at its relaxed geometry.

Cell and atoms, written as CIF:
```
data_SmNb2Os2
_cell_length_a 4.417
_cell_length_b 4.417
_cell_length_c 10.677
_cell_angle_alpha 90.00
_cell_angle_beta 90.00
_cell_angle_gamma 90.00
_space_group_name_H-M_alt 'I 4/m m m'
_space_group_IT_number 139
_space_group_name_Hall '-I 4 2'
loop_
_atom_site_label
_atom_site_type_symbol
_atom_site_fract_x
_atom_site_fract_y
_atom_site_fract_z
_atom_site_occupancy
Sm1 Sm 0.000 0.000 0.000 1
Nb1 Nb 0.000 0.500 0.250 1
Os1 Os 0.000 0.000 0.381 1
```

## Properties
Crystal system ... tetragonal
Final energy ... -9.6986 eV per atom

Entry 10:
A plane-wave DFT calculation with PBE was carried out for crystalline TmCuW at its relaxed geometry.

Cell and atoms, written as CIF:
```
data_TmCuW
_cell_length_a 6.443
_cell_length_b 6.443
_cell_length_c 6.443
_cell_angle_alpha 90.00
_cell_angle_beta 90.00
_cell_angle_gamma 90.00
_space_group_name_H-M_alt 'F -4 3 m'
_space_group_IT_number 216
_space_group_name_Hall 'F -4 2 3'
loop_
_atom_site_label
_atom_site_type_symbol
_atom_site_fract_x
_atom_site_fract_y
_atom_site_fract_z
_atom_site_occupancy
Tm1 Tm 0.000 0.000 0.000 1
Cu1 Cu 0.250 0.250 0.750 1
W1 W 0.250 0.250 0.250 1
```

## Properties
Crystal system ... cubic
Final energy ... -5.4740 eV per atom

Entry 11:
A plane-wave DFT calculation with PBE was carried out for crystalline Y3Ho2Tm3Te at its relaxed geometry.

Cell and atoms, written as CIF:
```
data_Y3Ho2Tm3Te
_cell_length_a 9.1805
_cell_length_b 9.1805
_cell_length_c 3.7565
_cell_angle_alpha 90.00
_cell_angle_beta 90.00
_cell_angle_gamma 120.00
_space_group_name_H-M_alt 'P -6 2 m'
_space_group_IT_number 189
_space_group_name_Hall 'P -6 -2'
loop_
_atom_site_label
_atom_site_type_symbol
_atom_site_fract_x
_atom_site_fract_y
_atom_site_fract_z
_atom_site_occupancy
Y1 Y 0.0000 0.2744 0.0000 1
Ho1 Ho 0.3333 0.6667 0.0000 1
Tm1 Tm 0.0000 0.6154 0.5000 1
Te1 Te 0.0000 0.0000 0.5000 1
```

## Properties
Crystal system ... hexagonal
Final energy ... -5.3042 eV per atom

Entry 12:
A plane-wave DFT calculation with PBE was carried out for crystalline Ho4Hg5Ir2 at its relaxed geometry.

Cell and atoms, written as CIF:
```
data_Ho4Hg5Ir2
_cell_length_a 7.658
_cell_length_b 3.594
_cell_length_c 9.538
_cell_angle_alpha 90.00
_cell_angle_beta 94.97
_cell_angle_gamma 90.00
_space_group_name_H-M_alt 'P 1 2/m 1'
_space_group_IT_number 10
_space_group_name_Hall '-P 2y'
loop_
_atom_site_label
_atom_site_type_symbol
_atom_site_fract_x
_atom_site_fract_y
_atom_site_fract_z
_atom_site_occupancy
Ho1 Ho 0.181 0.000 0.351 1
Ho2 Ho 0.214 0.000 0.939 1
Hg1 Hg 0.169 0.500 0.643 1
Hg2 Hg 0.460 0.500 0.167 1
Hg3 Hg 0.500 0.500 0.500 1
Ir1 Ir 0.080 0.500 0.140 1
```

## Properties
Crystal system ... monoclinic
Final energy ... -3.9689 eV per atom